# FeIrN2 (PBE, optimized geometry)
data_FeIrN2
_chemical_formula_sum 'Fe1 Ir1 N2'
_cell_length_a 6.4063
_cell_length_b 6.4063
_cell_length_c 6.4063
_cell_angle_alpha 24.51
_cell_angle_beta 24.51
_cell_angle_gamma 24.51
_space_group_name_H-M_alt 'P 1'
_space_group_IT_number 1
loop_
_space_group_symop_operation_xyz
'x,y,z'
loop_
_atom_site_label
_atom_site_type_symbol
_atom_site_fract_x
_atom_site_fract_y
_atom_site_fract_z
Fe1 Fe 0.0000 0.0000 0.0000
Ir1 Ir 0.5000 0.5000 0.5000
N1 N 0.3951 0.3951 0.3951
N2 N 0.6049 0.6049 0.6049
# Energy above the lowest structure with this stoichiometry ... 0 meV per atom

Material: FeNiIrN2
Method: DFT, PBE
State: optimized geometry

Geometry as CIF:
```
data_FeNiIrN2
_chemical_formula_sum 'Fe1 Ni1 Ir1 N2'
_cell_length_a 3.6028
_cell_length_b 3.6028
_cell_length_c 4.6979
_cell_angle_alpha 90.00
_cell_angle_beta 90.00
_cell_angle_gamma 90.00
_space_group_name_H-M_alt 'P 1'
_space_group_IT_number 1
loop_
_space_group_symop_operation_xyz
'x,y,z'
loop_
_atom_site_label
_atom_site_type_symbol
_atom_site_fract_x
_atom_site_fract_y
_atom_site_fract_z
Fe1 Fe 0.0000 0.0000 0.0000
Ni1 Ni 0.0000 0.0000 0.5000
Ir1 Ir 0.5000 0.5000 0.0000
N1 N 0.0000 0.5000 0.5000
N2 N 0.5000 0.0000 0.5000
```

Material: FeNi2IrN
Method: DFT, PBE
State: optimized geometry

Geometry as CIF:
```
data_FeNi2IrN
_chemical_formula_sum 'Fe1 Ni2 Ir1 N1'
_cell_length_a 3.7913
_cell_length_b 3.7913
_cell_length_c 3.8273
_cell_angle_alpha 90.00
_cell_angle_beta 90.00
_cell_angle_gamma 90.00
_space_group_name_H-M_alt 'P 1'
_space_group_IT_number 1
loop_
_space_group_symop_operation_xyz
'x,y,z'
loop_
_atom_site_label
_atom_site_type_symbol
_atom_site_fract_x
_atom_site_fract_y
_atom_site_fract_z
Fe1 Fe 0.0000 0.0000 0.0000
Ni1 Ni 0.0000 0.5000 0.5000
Ni2 Ni 0.5000 0.0000 0.5000
Ir1 Ir 0.5000 0.5000 0.0000
N1 N 0.0000 0.0000 0.5000
```

Material: Fe2IrPdN
Method: DFT, PBE
State: optimized geometry

Geometry as CIF:
```
data_Fe2IrPdN
_chemical_formula_sum 'Fe2 Ir1 Pd1 N1'
_cell_length_a 3.9215
_cell_length_b 3.9215
_cell_length_c 3.9960
_cell_angle_alpha 90.00
_cell_angle_beta 90.00
_cell_angle_gamma 90.00
_space_group_name_H-M_alt 'P 1'
_space_group_IT_number 1
loop_
_space_group_symop_operation_xyz
'x,y,z'
loop_
_atom_site_label
_atom_site_type_symbol
_atom_site_fract_x
_atom_site_fract_y
_atom_site_fract_z
Fe1 Fe 0.0000 0.5000 0.0000
Fe2 Fe 0.5000 0.0000 0.0000
Ir1 Ir 0.0000 0.0000 0.5000
Pd1 Pd 0.5000 0.5000 0.5000
N1 N 0.0000 0.0000 0.0000
```

| no. | formation energy (no corrections) (kJ/mol of formula units) | calculated total energy (eV/atom) | total magnetization (μB per cell) |
| --- | --- | --- | --- |
| 1 | 98 | -8.239 | 1.14 |
| 2 | 800 | -6.292 | 5.24 |
| 3 | 51 | -7.336 | 3.77 |
| 4 | 38 | -7.783 | 5.70 |